Computed, not measured: a relaxed structure of LaPF2 at the PBE level of DFT.

Computed properties:
- D(E_F) (states/eV/f.u.) = 0.8
- space-group type = I-42d (122)
- energy above the lowest structure with this stoichiometry (eV/atom) = 0.1146
- ΔE_f (raw) (eV per atom) = -2.16
- spin magnetization (μB/cell) = 0.00
- E_tot (eV/f.u.) = -22.7

```
LaPF2
1.0
-3.100 -0.983 -2.858
1.827 -3.871 -0.650
-5.166 -5.572 4.242
La P F
2 2 4
direct
0.750 0.250 0.500 La
0.000 0.000 0.000 La
0.500 0.500 0.000 P
0.250 0.750 0.500 P
0.664 0.125 0.250 F
0.375 0.336 0.750 F
0.086 0.625 0.250 F
0.875 0.914 0.750 F
```